[1]
# HoZn2Ni9 | the Alexandria database | PBE | optimized geometry
data_HoZn2Ni9
_chemical_formula_sum 'Ho1 Zn2 Ni9'
_cell_length_a 4.804
_cell_length_b 4.804
_cell_length_c 8.230
_cell_angle_alpha 73.03
_cell_angle_beta 73.03
_cell_angle_gamma 60.00
_space_group_name_H-M_alt 'P 1'
_space_group_IT_number 1
_space_group_name_Hall 'P 1'
loop_
_atom_site_label
_atom_site_type_symbol
_atom_site_fract_x
_atom_site_fract_y
_atom_site_fract_z
_atom_site_occupancy
Zn1 Zn 0.855 0.855 0.434 1
Zn2 Zn 0.145 0.145 0.566 1
Ni1 Ni 0.588 0.081 0.742 1
Ni2 Ni 0.412 0.919 0.258 1
Ni3 Ni 0.081 0.588 0.742 1
Ni4 Ni 0.334 0.334 0.998 1
Ni5 Ni 0.500 0.500 0.500 1
Ni6 Ni 0.588 0.588 0.742 1
Ni7 Ni 0.666 0.666 0.002 1
Ni8 Ni 0.919 0.412 0.258 1
Ni9 Ni 0.412 0.412 0.258 1
Ho1 Ho 0.000 0.000 0.000 1
# Relative energy among the computed polymorphs in meV per atom: 46


[2]
# Gd2ZrBi | the Alexandria database | PBE | optimized geometry
data_Gd2ZrBi
_chemical_formula_sum 'Gd2 Zr1 Bi1'
_cell_length_a 4.724
_cell_length_b 4.793
_cell_length_c 4.793
_cell_angle_alpha 90.00
_cell_angle_beta 90.00
_cell_angle_gamma 90.00
_space_group_name_H-M_alt 'P 1'
_space_group_IT_number 1
_space_group_name_Hall 'P 1'
loop_
_atom_site_label
_atom_site_type_symbol
_atom_site_fract_x
_atom_site_fract_y
_atom_site_fract_z
_atom_site_occupancy
Bi1 Bi 0.500 0.500 0.500 1
Gd1 Gd 0.000 0.000 0.500 1
Gd2 Gd 0.000 0.500 0.000 1
Zr1 Zr 0.500 0.000 0.000 1
# Relative energy among the computed polymorphs in meV per atom: 0


no.,V (Å³ per cell),calculated total energy (eV/atom),formation enthalpy at 0 K (kJ/mol of formula units)
1,155,-5.112,-211
2,109,-10.405,-99